(1)
Density functional theory data (GGA-PBEsol) for a geometry-optimized HgTe2Se2 structure.

Output
Magnetic moment ... 0.00 μB per cell
Total DFT energy (no corrections) ... -2.967 eV per atom
Volume ... 34.963 A^3/atom
Symmetry ... No. 139
Formation energy from raw total energies ... 97 meV per atom

Lattice parameters (Å, degrees): 6.6162 6.6162 6.6162 127.97 127.97 76.68
Element x y z (fractional)
1 Hg 0.0000 0.0000 0.0000
2 Te 0.2555 0.2555 0.0000
3 Te 0.7445 0.7445 0.0000
4 Se 0.2500 0.7500 0.5000
5 Se 0.7500 0.2500 0.5000


(2)
Density functional theory data (GGA-PBEsol) for a geometry-optimized Hf3Al3C5 structure.

Output
Magnetic moment ... 0.00 μB per cell
Total DFT energy (no corrections) ... -8.997 eV per atom
Volume ... 11.721 A^3/atom
Symmetry ... No. 194
Calculated formation energy ... -0.633 eV/atom

Lattice parameters (Å, degrees): 3.3058 3.3058 27.2458 90.00 90.00 120.00
Element x y z (fractional)
1 Hf 0.0000 0.0000 0.0000
2 Hf 0.0000 0.0000 0.5000
3 Hf 0.3333 0.6667 0.0941
4 Hf 0.3333 0.6667 0.4059
5 Hf 0.6667 0.3333 0.5941
6 Hf 0.6667 0.3333 0.9059
7 Al 0.0000 0.0000 0.2500
8 Al 0.0000 0.0000 0.7500
9 Al 0.3333 0.6667 0.6759
10 Al 0.3333 0.6667 0.8241
11 Al 0.6667 0.3333 0.1759
12 Al 0.6667 0.3333 0.3241
13 C 0.0000 0.0000 0.1500
14 C 0.0000 0.0000 0.3500
15 C 0.0000 0.0000 0.6500
16 C 0.0000 0.0000 0.8500
17 C 0.3333 0.6667 0.5493
18 C 0.3333 0.6667 0.7500
19 C 0.3333 0.6667 0.9507
20 C 0.6667 0.3333 0.0493
21 C 0.6667 0.3333 0.2500
22 C 0.6667 0.3333 0.4507


(3)
Density functional theory data (GGA-PBEsol) for a geometry-optimized LiHS structure.

Output
Magnetic moment ... 0.00 μB per cell
Total DFT energy (no corrections) ... -3.987 eV per atom
Volume ... 15.165 A^3/atom
Symmetry ... No. 135

Lattice parameters (Å, degrees): 7.7216 7.7216 6.1045 90.00 90.00 90.00
Element x y z (fractional)
1 Li 0.0000 0.0000 0.2500
2 Li 0.0000 0.0000 0.7500
3 Li 0.0000 0.5000 0.2500
4 Li 0.0000 0.5000 0.7500
5 Li 0.5000 0.0000 0.2500
6 Li 0.5000 0.0000 0.7500
7 Li 0.5000 0.5000 0.2500
8 Li 0.5000 0.5000 0.7500
9 H 0.1934 0.2514 0.0000
10 H 0.2486 0.3066 0.5000
11 H 0.2514 0.8066 0.5000
12 H 0.3066 0.7514 0.0000
13 H 0.6934 0.2486 0.0000
14 H 0.7486 0.1934 0.5000
15 H 0.7514 0.6934 0.5000
16 H 0.8066 0.7486 0.0000
17 S 0.0175 0.2498 0.0000
18 S 0.2502 0.4825 0.5000
19 S 0.2498 0.9825 0.5000
20 S 0.4825 0.7498 0.0000
21 S 0.5175 0.2502 0.0000
22 S 0.7502 0.0175 0.5000
23 S 0.7498 0.5175 0.5000
24 S 0.9825 0.7502 0.0000